A plane-wave DFT calculation with PBE was carried out for an optimized crystal structure of Na2Cu2Br5.

Cell and atoms, written as extended XYZ:
```
9
Lattice="4.893 0.000 0.000 -2.446 6.555 -2.695 0.000 -0.826 7.840" Properties=species:S:1:pos:R:3 pbc="T T T"
Na 0.000 4.375 3.687
Na 2.446 1.354 1.457
Cu 0.000 0.419 5.620
Cu 2.446 5.310 -0.476
Br 0.000 4.874 -0.894
Br 2.446 0.854 6.039
Br 0.000 1.427 3.376
Br 2.446 4.302 1.769
Br 0.000 0.000 0.000
```

Output
* total magnetic moment: 0.000 μB per formula unit
* uncorrected formation energy: -799.5 meV/atom
* energy relative to the lowest polymorph listed for this composition: 17 meV/atom
* density: 3.95 Mg/m³